Sr15Ca4Ac | Alexandria | GGA-PBE | optimized geometry; ΔH_f (0 K) = 0.6 eV/f.u.; space-group type = P4/mmm, No. 123; total magnetic moment = 0.0341 μB/atom; Fermi-level density of states = 26.78 states/eV/f.u.
1.0
5.8978 0.0000 0.0000
0.0000 5.8978 0.0000
0.0000 0.0000 29.6000
Sr Ca Ac
15 4 1
Direct
0.0000 0.0000 0.0000
0.0000 0.0000 0.2004
0.0000 0.0000 0.3999
0.0000 0.0000 0.6001
0.0000 0.0000 0.7996
0.0000 0.5000 0.0999
0.0000 0.5000 0.2999
0.0000 0.5000 0.5000
0.0000 0.5000 0.7001
0.0000 0.5000 0.9001
0.5000 0.0000 0.0999
0.5000 0.0000 0.2999
0.5000 0.0000 0.5000
0.5000 0.0000 0.7001
0.5000 0.0000 0.9001
0.5000 0.5000 0.1997
0.5000 0.5000 0.4001
0.5000 0.5000 0.5999
0.5000 0.5000 0.8003
0.5000 0.5000 0.0000